Record 1
Computed, not measured: a relaxed Tb3Dy7 crystal at the GGA-PBE level of DFT.

Calculated values
For the energy of formation from the pure elements, the calculation gives 0.01 eV per atom. The calculation puts the total magnetic moment at 0.000 μB per formula unit. Its crystal system is monoclinic.

Lattice parameters (Å, degrees): 9.360 9.360 7.100 100.87 100.87 30.97
Element x y z (fractional)
Tb (0.000, 0.000, 0.000)
Tb (0.200, 0.200, 0.600)
Tb (0.800, 0.800, 0.400)
Dy (0.000, 0.000, 0.500)
Dy (0.200, 0.200, 0.100)
Dy (0.400, 0.400, 0.200)
Dy (0.400, 0.400, 0.700)
Dy (0.600, 0.600, 0.300)
Dy (0.600, 0.600, 0.800)
Dy (0.800, 0.800, 0.900)

Record 2
Computed, not measured: a relaxed LuPuMgHg crystal at the GGA-PBE level of DFT.

Calculated values
For the energy of formation from the pure elements, the calculation gives -0.05 eV per atom. The calculation puts the total magnetic moment at 6.049 μB per formula unit. Its crystal system is cubic.

Lattice parameters (Å, degrees): 5.266 5.266 5.266 60.00 60.00 60.00
Element x y z (fractional)
Lu (0.000, 0.000, 0.000)
Pu (0.500, 0.500, 0.500)
Mg (0.250, 0.250, 0.250)
Hg (0.750, 0.750, 0.750)

Record 3
Computed, not measured: a relaxed RbNaTlF3 crystal at the GGA-PBE level of DFT.

Calculated values
The calculation puts the total magnetic moment at 0.000 μB per formula unit. The value obtained for the uncorrected formation energy is -14.0 eV per formula unit. Its crystal system is monoclinic.

Lattice parameters (Å, degrees): 7.372 3.571 10.243 90.00 106.75 90.00
Element x y z (fractional)
Rb (0.180, 0.250, 0.176)
Rb (0.820, 0.750, 0.824)
Na (0.331, 0.750, 0.908)
Na (0.669, 0.250, 0.092)
Tl (0.324, 0.250, 0.593)
Tl (0.676, 0.750, 0.407)
F (0.126, 0.250, 0.889)
F (0.340, 0.750, 0.412)
F (0.477, 0.750, 0.139)
F (0.523, 0.250, 0.861)
F (0.660, 0.250, 0.588)
F (0.874, 0.750, 0.111)

Record 4
Computed, not measured: a relaxed HfTa5Tc6 crystal at the GGA-PBE level of DFT.

Calculated values
For the energy of formation from the pure elements, the calculation gives -0.51 eV per atom. The calculation puts the total magnetic moment at 0.000 μB per formula unit. Its crystal system is monoclinic.

Lattice parameters (Å, degrees): 7.837 7.837 4.518 106.71 106.71 120.09
Element x y z (fractional)
Hf (0.000, 0.000, 0.000)
Ta (0.167, 0.833, 0.500)
Ta (0.334, 0.666, 0.000)
Ta (0.500, 0.500, 0.500)
Ta (0.666, 0.334, 0.000)
Ta (0.833, 0.167, 0.500)
Tc (0.084, 0.420, 0.252)
Tc (0.254, 0.254, 0.754)
Tc (0.420, 0.084, 0.252)
Tc (0.580, 0.916, 0.748)
Tc (0.746, 0.746, 0.246)
Tc (0.916, 0.580, 0.748)

Record 5
Computed, not measured: a relaxed ErTm12Sc2 crystal at the GGA-PBE level of DFT.

Calculated values
For the energy of formation from the pure elements, the calculation gives 0.11 eV per atom. The calculation puts the total magnetic moment at 0.000 μB per formula unit. Its crystal system is monoclinic.

Lattice parameters (Å, degrees): 3.527 5.372 23.653 90.00 94.14 90.00
Element x y z (fractional)
Er (0.000, 0.000, 0.000)
Tm (0.082, 0.000, 0.150)
Tm (0.167, 0.500, 0.325)
Tm (0.214, 0.000, 0.420)
Tm (0.275, 0.500, 0.556)
Tm (0.390, 0.500, 0.795)
Tm (0.464, 0.500, 0.930)
Tm (0.536, 0.500, 0.070)
Tm (0.610, 0.500, 0.205)
Tm (0.725, 0.500, 0.444)
Tm (0.786, 0.000, 0.580)
Tm (0.833, 0.500, 0.675)
Tm (0.918, 0.000, 0.850)
Sc (0.352, 0.000, 0.715)
Sc (0.648, 0.000, 0.285)

Record 6
Computed, not measured: a relaxed PRh crystal at the GGA-PBE level of DFT.

Calculated values
For the energy of formation from the pure elements, the calculation gives -0.42 eV per atom. The calculation puts the total magnetic moment at 0.000 μB per formula unit. Its crystal system is cubic.

Lattice parameters (Å, degrees): 3.711 3.711 3.711 60.00 60.00 60.00
Element x y z (fractional)
P (0.000, 0.000, 0.000)
Rh (0.750, 0.750, 0.750)

Record 7
Computed, not measured: a relaxed LaCdH2Pt crystal at the GGA-PBE level of DFT.

Calculated values
The calculation puts the total magnetic moment at 0.000 μB per formula unit. The uncorrected energy comes out at -3.8503 eV/atom. Its crystal system is tetragonal.

Lattice parameters (Å, degrees): 4.256 4.256 5.677 90.00 90.00 90.00
Element x y z (fractional)
La (0.000, 0.000, 0.000)
Cd (0.500, 0.500, 0.500)
H (0.000, 0.500, 0.000)
H (0.500, 0.000, 0.000)
Pt (0.000, 0.000, 0.500)

Record 8
Computed, not measured: a relaxed CeCoI2 crystal at the GGA-PBE level of DFT.

Calculated values
The calculation puts the total magnetic moment at 3.576 μB per formula unit. The value obtained for the uncorrected formation energy is 0.3 eV per formula unit. Its crystal system is trigonal.

Lattice parameters (Å, degrees): 9.598 9.598 9.598 23.76 23.76 23.76
Element x y z (fractional)
Ce (0.000, 0.000, 0.000)
Co (0.500, 0.500, 0.500)
I (0.113, 0.113, 0.113)
I (0.887, 0.887, 0.887)

Record 9
Computed, not measured: a relaxed Y4TlTe5 crystal at the GGA-PBE level of DFT.

Calculated values
The calculation puts the total magnetic moment at 0.000 μB per formula unit. The value obtained for the uncorrected formation energy is -10.9 eV per formula unit. Its crystal system is monoclinic.

Lattice parameters (Å, degrees): 10.643 10.643 8.618 105.13 105.13 23.69
Element x y z (fractional)
Y (0.035, 0.035, 0.256)
Y (0.328, 0.328, 0.470)
Y (0.672, 0.672, 0.530)
Y (0.965, 0.965, 0.744)
Tl (0.500, 0.500, 0.500)
Te (0.110, 0.110, 0.696)
Te (0.184, 0.184, 0.283)
Te (0.500, 0.500, 0.000)
Te (0.816, 0.816, 0.717)
Te (0.890, 0.890, 0.304)

Record 10
Computed, not measured: a relaxed TcPIrCl2 crystal at the GGA-PBE level of DFT.

Calculated values
The calculation puts the total magnetic moment at 0.893 μB per formula unit. The value obtained for the uncorrected formation energy is 5.8 eV per formula unit. Its crystal system is tetragonal.

Lattice parameters (Å, degrees): 4.653 4.653 4.737 90.00 90.00 90.00
Element x y z (fractional)
Tc (0.000, 0.000, 0.000)
P (0.000, 0.000, 0.500)
Ir (0.500, 0.500, 0.500)
Cl (0.000, 0.500, 0.000)
Cl (0.500, 0.000, 0.000)

Record 11
Computed, not measured: a relaxed ScNiPt2 crystal at the GGA-PBE level of DFT.

Calculated values
For the energy of formation from the pure elements, the calculation gives -0.73 eV per atom. The calculation puts the total magnetic moment at 0.750 μB per formula unit. Its crystal system is orthorhombic.

Lattice parameters (Å, degrees): 2.926 3.730 5.650 90.00 90.00 90.00
Element x y z (fractional)
Sc (0.000, 0.000, 0.000)
Ni (0.000, 0.000, 0.500)
Pt (0.500, 0.500, 0.263)
Pt (0.500, 0.500, 0.737)

Record 12
Computed, not measured: a relaxed LiAl2Mo crystal at the GGA-PBE level of DFT.

Calculated values
For the energy of formation from the pure elements, the calculation gives -0.14 eV per atom. The calculation puts the total magnetic moment at 0.000 μB per formula unit. Its crystal system is orthorhombic.

Lattice parameters (Å, degrees): 2.838 3.665 5.831 90.00 90.00 90.00
Element x y z (fractional)
Li (0.000, 0.000, 0.000)
Al (0.500, 0.500, 0.252)
Al (0.500, 0.500, 0.748)
Mo (0.000, 0.000, 0.500)

Record 13
Computed, not measured: a relaxed Mn2ZnC crystal at the GGA-PBE level of DFT.

Calculated values
For the energy of formation from the pure elements, the calculation gives 0.98 eV per atom. The calculation puts the total magnetic moment at 3.923 μB per formula unit. Its crystal system is cubic.

Lattice parameters (Å, degrees): 3.907 3.907 3.907 60.00 60.00 60.00
Element x y z (fractional)
Mn (0.250, 0.250, 0.250)
Mn (0.750, 0.750, 0.750)
Zn (0.000, 0.000, 0.000)
C (0.500, 0.500, 0.500)

Record 14
Computed, not measured: a relaxed Ce2NdDyN4 crystal at the GGA-PBE level of DFT.

Calculated values
The calculation puts the total magnetic moment at 0.399 μB per formula unit. The value obtained for the uncorrected formation energy is -12.1 eV per formula unit. Its crystal system is monoclinic.

Lattice parameters (Å, degrees): 6.165 3.564 6.182 90.00 109.47 90.00
Element x y z (fractional)
Ce (0.000, 0.000, 0.000)
Ce (0.000, 0.500, 0.500)
Nd (0.500, 0.000, 0.500)
Dy (0.500, 0.500, 0.000)
N (0.240, 0.500, 0.239)
N (0.246, 0.000, 0.756)
N (0.754, 0.000, 0.244)
N (0.760, 0.500, 0.761)

Record 15
Computed, not measured: a relaxed La2PrScO crystal at the GGA-PBE level of DFT.

Calculated values
The calculation puts the total magnetic moment at 0.000 μB per formula unit. The value obtained for the uncorrected formation energy is -5.6 eV per formula unit. Its crystal system is tetragonal.

Lattice parameters (Å, degrees): 5.432 5.432 4.348 90.00 90.00 90.00
Element x y z (fractional)
La (0.000, 0.500, 0.000)
La (0.500, 0.000, 0.000)
Pr (0.000, 0.000, 0.500)
Sc (0.500, 0.500, 0.500)
O (0.500, 0.500, 0.000)

Record 16
Computed, not measured: a relaxed Ac3FeBi crystal at the GGA-PBE level of DFT.

Calculated values
For the energy of formation from the pure elements, the calculation gives -0.27 eV per atom. The calculation puts the total magnetic moment at 0.000 μB per formula unit. Its crystal system is cubic.

Lattice parameters (Å, degrees): 5.526 5.526 5.526 90.00 90.00 90.00
Element x y z (fractional)
Ac (0.000, 0.000, 0.500)
Ac (0.000, 0.500, 0.000)
Ac (0.500, 0.000, 0.000)
Fe (0.000, 0.000, 0.000)
Bi (0.500, 0.500, 0.500)

Record 17
Computed, not measured: a relaxed K3RbNa crystal at the GGA-PBE level of DFT.

Calculated values
For the energy of formation from the pure elements, the calculation gives 0.03 eV per atom. The calculation puts the total magnetic moment at 0.000 μB per formula unit. Its crystal system is monoclinic.

Lattice parameters (Å, degrees): 6.843 10.412 9.843 90.00 90.02 90.00
Element x y z (fractional)
K (0.248, 0.045, 0.201)
K (0.248, 0.455, 0.201)
K (0.250, 0.750, 0.552)
K (0.750, 0.250, 0.448)
K (0.752, 0.545, 0.799)
K (0.752, 0.955, 0.799)
Rb (0.251, 0.250, 0.760)
Rb (0.749, 0.750, 0.240)
Na (0.252, 0.750, 0.947)
Na (0.748, 0.250, 0.053)

Record 18
Computed, not measured: a relaxed CaSbPdPt crystal at the GGA-PBE level of DFT.

Calculated values
The calculation puts the total magnetic moment at 0.000 μB per formula unit. The value obtained for the uncorrected formation energy is -2.7 eV per formula unit. Its crystal system is cubic.

Lattice parameters (Å, degrees): 4.807 4.807 4.807 60.00 60.00 60.00
Element x y z (fractional)
Ca (0.000, 0.000, 0.000)
Sb (0.500, 0.500, 0.500)
Pd (0.750, 0.750, 0.750)
Pt (0.250, 0.250, 0.250)

Record 19
Computed, not measured: a relaxed SmTmCdAg crystal at the GGA-PBE level of DFT.

Calculated values
For the energy of formation from the pure elements, the calculation gives -0.29 eV per atom. The calculation puts the total magnetic moment at 0.000 μB per formula unit. Its crystal system is cubic.

Lattice parameters (Å, degrees): 5.239 5.239 5.239 60.00 60.00 60.00
Element x y z (fractional)
Sm (0.000, 0.000, 0.000)
Tm (0.500, 0.500, 0.500)
Cd (0.750, 0.750, 0.750)
Ag (0.250, 0.250, 0.250)

Record 20
Computed, not measured: a relaxed K2CaC2O6 crystal at the GGA-PBE level of DFT.

Calculated values
The calculation puts the total magnetic moment at 0.000 μB per formula unit. The value obtained for the uncorrected formation energy is -22.2 eV per formula unit. Its crystal system is trigonal.

Lattice parameters (Å, degrees): 6.935 6.935 6.935 46.22 46.22 46.22
Element x y z (fractional)
K (0.210, 0.210, 0.210)
K (0.790, 0.790, 0.790)
Ca (0.000, 0.000, 0.000)
C (0.411, 0.411, 0.411)
C (0.589, 0.589, 0.589)
O (0.273, 0.273, 0.688)
O (0.273, 0.688, 0.273)
O (0.312, 0.727, 0.727)
O (0.688, 0.273, 0.273)
O (0.727, 0.312, 0.727)
O (0.727, 0.727, 0.312)